This record from the Alexandria database describes crystalline Ba2Ag2SbS6 at its relaxed geometry. The functional is PBE.

```
Ba2Ag2SbS6
1.0
-1.0899 -6.9788 2.3195
5.7622 -4.6586 0.6055
2.4236 -2.0328 6.9370
S Ag Ba Sb
6 2 2 1
Cartesian
1.0025 -6.8369 3.7295 S
4.8174 -5.5451 2.7752 S
6.0934 -6.8333 6.1326 S
2.8853 -4.2396 5.7955 S
4.2106 -9.4306 4.0666 S
2.2785 -8.1251 7.0869 S
3.7758 -6.3494 6.4994 Ag
3.3201 -7.3208 3.3627 Ag
5.2558 -10.3936 6.9415 Ba
1.8401 -3.2766 2.9206 Ba
0.0000 0.0000 0.0000 Sb
```

Output
* SG: R-3m
* theoretical density: 4.43 g/cm3
* raw formation energy: -0.674 eV per atom
* spin magnetization: 0.0000 μB/atom
* electronic total energy: -4.168 eV per atom

This record from the Alexandria database describes crystalline BaSc3AgS6 at its relaxed geometry. The functional is PBE.

```
BaSc3AgS6
1.0
11.0199 0.0000 0.0000
0.0000 11.2171 0.0000
0.0000 0.0000 16.3216
S Sc Ag Ba
48 24 8 8
Cartesian
8.8300 0.9899 2.1390 S
7.7599 8.4128 10.3958 S
1.4897 0.9377 8.4018 S
4.5103 2.8043 9.3450 S
0.9475 10.3389 1.2306 S
9.5303 10.2794 7.9198 S
5.7441 10.3409 3.0916 S
4.0043 8.4128 0.3123 S
8.8300 4.6187 2.1390 S
4.0203 0.9377 0.2410 S
10.7858 10.3409 11.2524 S
5.2758 4.7323 13.2300 S
10.7858 6.4848 11.2524 S
10.0202 8.4128 15.1375 S
3.2600 2.8043 5.9258 S
6.9996 10.2794 16.0806 S
2.2500 2.8043 14.0866 S
5.4022 2.8043 2.9241 S
6.4575 0.8782 6.9302 S
9.5303 6.5463 7.9198 S
4.5625 6.4867 9.3914 S
2.1899 6.5984 14.1826 S
1.4897 4.6709 8.4018 S
6.9996 6.5463 16.0806 S
3.3200 10.2272 6.0218 S
10.9122 8.4128 5.2367 S
8.7700 8.4128 2.2350 S
5.7441 6.4848 3.0916 S
6.5096 8.4128 6.9767 S
3.3200 6.5984 6.0218 S
0.2342 0.8762 5.0692 S
4.5625 10.3389 9.3914 S
6.4575 4.7304 6.9302 S
0.9475 6.4867 1.2306 S
7.0156 2.8043 16.0093 S
2.1899 10.2272 14.1826 S
5.2758 0.8762 13.2300 S
5.6177 8.4128 13.3975 S
1.5056 8.4128 8.4731 S
0.9997 2.8043 1.1841 S
9.5143 2.8043 7.8485 S
10.0724 0.8782 15.0910 S
7.6999 0.9899 10.2998 S
0.1077 2.8043 11.0849 S
7.6999 4.6187 10.2998 S
0.2342 4.7323 5.0692 S
10.0724 4.7304 15.0910 S
4.0203 4.6709 0.2410 S
4.6466 6.5678 14.9112 Sc
1.5538 4.6769 15.7647 Sc
6.2766 8.4128 1.5130 Sc
7.0638 10.2855 8.7178 Sc
1.5356 8.4128 15.9162 Sc
9.4843 2.8043 0.4054 Sc
3.9561 0.9316 7.6039 Sc
10.2533 8.4128 9.6738 Sc
0.7666 2.8043 6.6478 Sc
0.8634 6.5678 6.7503 Sc
7.0456 2.8043 8.5662 Sc
3.9561 4.6769 7.6039 Sc
3.9743 8.4128 7.7554 Sc
4.6466 10.2578 14.9112 Sc
1.5538 0.9316 15.7647 Sc
9.4661 6.5402 0.5569 Sc
10.1566 4.6493 9.5713 Sc
6.3733 0.9593 1.4105 Sc
6.3733 4.6493 1.4105 Sc
10.1566 0.9593 9.5713 Sc
4.7434 2.8043 14.8086 Sc
0.8634 10.2578 6.7503 Sc
9.4661 10.2855 0.5569 Sc
7.0638 6.5402 8.7178 Sc
0.4764 8.4128 2.8601 Ag
5.9864 2.8043 5.3007 Ag
5.0648 8.4128 4.7143 Ag
5.9551 2.8043 11.6073 Ag
5.0336 8.4128 11.0209 Ag
0.4452 8.4128 12.8751 Ag
10.5435 2.8043 13.4615 Ag
10.5748 2.8043 3.4465 Ag
2.9344 0.6191 3.3271 Ba
2.9344 4.9895 3.3271 Ba
8.0855 6.2276 12.9946 Ba
2.5756 4.9895 11.4879 Ba
2.5756 0.6191 11.4879 Ba
8.4444 6.2276 4.8337 Ba
8.4444 10.5981 4.8337 Ba
8.0855 10.5981 12.9946 Ba
```

Output
* SG: Pnma
* theoretical density: 3.77 g/cm3
* raw formation energy: -1.737 eV per atom
* spin magnetization: 0.0000 μB/atom
* electronic total energy: -6.149 eV per atom